# 1
VASP calculation (PBE-GGA) on a relaxed structure of Na2MnI4.

Summary:
* E: -3.44 eV/atom
* E above lowest polymorph: 0.013 eV per atom
* raw formation energy: -871 meV/atom

Unit cell a=7.675 b=8.331 c=8.782 alpha=90.00 beta=106.13 gamma=90.00
Site moments in Bohr magnetons follow the coordinates.
Element x y z (fractional)
I (0.516, 0.497, 0.753)  0.04
I (0.484, 0.503, 0.247)  0.04
I (0.043, 0.750, 0.883)  0.06
I (0.957, 0.250, 0.117)  0.06
I (0.968, 0.250, 0.617)  0.05
I (0.484, 0.997, 0.247)  0.04
I (0.516, 0.003, 0.753)  0.04
I (0.032, 0.750, 0.383)  0.05
Mn (0.759, 0.250, 0.815)  4.27
Mn (0.241, 0.750, 0.185)  4.27
Na (0.721, 0.750, 0.054)  0.00
Na (0.279, 0.250, 0.946)  0.00
Na (0.298, 0.250, 0.450)  0.00
Na (0.702, 0.750, 0.550)  0.00

=====

# 2
VASP calculation (PBE-GGA) on a relaxed structure of Na2MnI.

Summary:
* E: -3.12 eV/atom
* E above lowest polymorph: 0.017 eV per atom
* raw formation energy: 221 meV/atom

Unit cell a=5.618 b=5.618 c=5.618 alpha=60.00 beta=60.00 gamma=60.00
Site moments in Bohr magnetons follow the coordinates.
Element x y z (fractional)
Na (0.750, 0.750, 0.750)  -0.02
Na (0.250, 0.250, 0.250)  -0.02
Mn (0.000, 0.000, 0.000)  4.17
I (0.500, 0.500, 0.500)  0.01

=====

# 3
VASP calculation (PBE-GGA) on a relaxed structure of Na2MnI4.

Summary:
* E: -3.46 eV/atom
* E above lowest polymorph: 0.000 eV per atom
* raw formation energy: -884 meV/atom

Unit cell a=8.017 b=8.017 c=8.017 alpha=82.13 beta=124.64 gamma=124.64
Site moments in Bohr magnetons follow the coordinates.
Element x y z (fractional)
Na (0.500, 0.250, 0.750)  0.00
Na (0.500, 0.750, 0.250)  0.00
Mn (0.000, 0.500, 0.500)  4.29
I (0.000, 0.164, 0.605)  0.04
I (0.559, 0.395, 0.395)  0.04
I (0.441, 0.836, 0.836)  0.04
I (0.000, 0.605, 0.164)  0.04

=====

# 4
VASP calculation (PBE-GGA) on a relaxed structure of NaMn2I.

Summary:
* E: -4.47 eV/atom
* E above lowest polymorph: 0.104 eV per atom
* raw formation energy: 830 meV/atom

Unit cell a=4.914 b=4.914 c=4.914 alpha=60.00 beta=60.00 gamma=60.00
Site moments in Bohr magnetons follow the coordinates.
Element x y z (fractional)
Mn (0.250, 0.250, 0.250)  3.68
Mn (0.750, 0.750, 0.750)  3.68
I (0.500, 0.500, 0.500)  0.04
Na (0.000, 0.000, 0.000)  -0.02

=====

# 5
VASP calculation (PBE-GGA) on a relaxed structure of Na2Mn2I7.

Summary:
* E: -3.52 eV/atom
* E above lowest polymorph: 0.000 eV per atom
* raw formation energy: -630 meV/atom

Unit cell a=7.350 b=8.581 c=15.299 alpha=90.00 beta=90.00 gamma=99.57
Site moments in Bohr magnetons follow the coordinates.
Element x y z (fractional)
I (0.095, 0.276, 0.724)  0.00
I (0.719, 0.425, 0.552)  0.02
I (0.452, 0.037, 0.337)  0.01
I (0.281, 0.075, 0.052)  0.02
I (0.281, 0.575, 0.448)  0.02
I (0.719, 0.925, 0.948)  0.02
I (0.452, 0.537, 0.163)  0.01
I (0.000, 0.000, 0.500)  0.01
I (0.548, 0.463, 0.837)  0.01
I (0.905, 0.724, 0.276)  0.00
I (0.548, 0.963, 0.663)  0.01
I (0.095, 0.776, 0.776)  0.00
I (0.000, 0.500, 0.000)  0.01
I (0.905, 0.224, 0.224)  0.00
Mn (0.833, 0.171, 0.612)  4.04
Mn (0.167, 0.329, 0.112)  4.04
Mn (0.167, 0.829, 0.388)  4.04
Mn (0.833, 0.671, 0.888)  4.04
Na (0.614, 0.423, 0.345)  0.00
Na (0.386, 0.077, 0.845)  0.00
Na (0.614, 0.923, 0.155)  0.00
Na (0.386, 0.577, 0.655)  0.00

=====

# 6
VASP calculation (PBE-GGA) on a relaxed structure of NaNpMnI6.

Summary:
* E: -4.41 eV/atom
* raw formation energy: -772 meV/atom

Unit cell a=7.694 b=7.694 c=14.431 alpha=90.00 beta=90.00 gamma=120.00
Site moments in Bohr magnetons follow the coordinates.
Element x y z (fractional)
I (0.344, 0.980, 0.632)  0.01
I (0.020, 0.656, 0.868)  0.01
I (0.637, 0.656, 0.632)  0.01
I (0.020, 0.363, 0.632)  0.01
I (0.656, 0.020, 0.368)  0.01
I (0.656, 0.637, 0.132)  0.01
I (0.980, 0.344, 0.132)  0.01
I (0.637, 0.980, 0.868)  0.01
I (0.363, 0.020, 0.132)  0.01
I (0.363, 0.344, 0.368)  0.01
I (0.980, 0.637, 0.368)  0.01
I (0.344, 0.363, 0.868)  0.01
Mn (0.333, 0.667, 0.750)  4.35
Mn (0.667, 0.333, 0.250)  4.35
Np (0.667, 0.333, 0.750)  4.04
Np (0.333, 0.667, 0.250)  4.04
Na (0.000, 0.000, 0.000)  0.00
Na (0.000, 0.000, 0.500)  0.00